Ca2TmThSe4 | PBE | relaxed

Computed properties:
Total moment ... 0.00 μB per cell
Symmetry ... No. 10
DOS at the Fermi energy ... 0.536 states/eV/atom
Volume ... 202.6 Å³ per cell
Energy relative to the elements, uncorrected ... -40.30 kcal/mol of atoms
Total energy ... -5.4766 eV/atom

The structure in POSCAR format:
```
Ca2TmThSe4
1.0
7.1340 0.0000 0.0000
0.0000 4.0851 0.0000
-2.3346 0.0000 6.9526
Ca Tm Th Se
2 1 1 4
direct
0.0000 0.0000 0.0000 Ca
0.5000 0.5000 0.0000 Ca
0.0000 0.5000 0.5000 Tm
0.5000 0.0000 0.5000 Th
0.2396 0.0000 0.7457 Se
0.2395 0.5000 0.2455 Se
0.7604 0.0000 0.2543 Se
0.7605 0.5000 0.7545 Se
```

=====

CaTm2ThSe4 | PBE | relaxed

Computed properties:
Total moment ... 0.00 μB per cell
Symmetry ... No. 10
DOS at the Fermi energy ... 0.554 states/eV/atom
Volume ... 195.8 Å³ per cell
Energy relative to the elements, uncorrected ... -38.84 kcal/mol of atoms
Total energy ... -5.7223 eV/atom

The structure in POSCAR format:
```
CaTm2ThSe4
1.0
7.0600 0.0000 0.0000
0.0000 4.0474 0.0000
-2.3240 0.0000 6.8520
Ca Tm Th Se
1 2 1 4
direct
0.0000 0.0000 0.0000 Ca
0.5000 0.0000 0.5000 Tm
0.5000 0.5000 0.0000 Tm
0.0000 0.5000 0.5000 Th
0.2616 0.5000 0.2494 Se
0.2652 0.0000 0.7611 Se
0.7348 0.0000 0.2389 Se
0.7384 0.5000 0.7506 Se
```

=====

Ca3Y2ThSe6 | PBE | relaxed

Computed properties:
Total moment ... 0.00 μB per cell
Symmetry ... No. 12
DOS at the Fermi energy ... 0.466 states/eV/atom
Volume ... 305.6 Å³ per cell
Energy relative to the elements, uncorrected ... -41.85 kcal/mol of atoms
Total energy ... -5.7531 eV/atom

The structure in POSCAR format:
```
Ca3Y2ThSe6
1.0
9.1423 -2.0535 0.0000
9.1423 2.0535 0.0000
-2.1612 0.0000 8.1390
Ca Y Th Se
3 2 1 6
direct
0.0000 0.0000 0.0000 Ca
0.3349 0.3349 0.6693 Ca
0.6651 0.6651 0.3307 Ca
0.3380 0.3380 0.1770 Y
0.6620 0.6620 0.8230 Y
0.0000 0.0000 0.5000 Th
0.1701 0.1701 0.0772 Se
0.1703 0.1703 0.5846 Se
0.4995 0.4995 0.7584 Se
0.5005 0.5005 0.2416 Se
0.8297 0.8297 0.4154 Se
0.8299 0.8299 0.9228 Se
```

=====

CaY2ThSe4 | PBE | relaxed

Computed properties:
Total moment ... 0.00 μB per cell
Symmetry ... No. 10
DOS at the Fermi energy ... 0.565 states/eV/atom
Volume ... 200.9 Å³ per cell
Energy relative to the elements, uncorrected ... -40.07 kcal/mol of atoms
Total energy ... -6.2734 eV/atom

The structure in POSCAR format:
```
CaY2ThSe4
1.0
7.1156 0.0000 0.0000
0.0000 4.0982 0.0000
-2.3620 0.0000 6.8901
Ca Y Th Se
1 2 1 4
direct
0.0000 0.0000 0.0000 Ca
0.5000 0.0000 0.5000 Y
0.5000 0.5000 0.0000 Y
0.0000 0.5000 0.5000 Th
0.2549 0.5000 0.2476 Se
0.2583 0.0000 0.7586 Se
0.7417 0.0000 0.2414 Se
0.7451 0.5000 0.7524 Se
```

=====

CaY4ThSe8 | PBE | relaxed

Computed properties:
Total moment ... 0.05 μB per cell
Symmetry ... No. 160
DOS at the Fermi energy ... 0.688 states/eV/atom
Volume ... 435.4 Å³ per cell
Energy relative to the elements, uncorrected ... -39.90 kcal/mol of atoms
Total energy ... -6.2413 eV/atom

The structure in POSCAR format:
```
CaY4ThSe8
1.0
4.2462 2.4515 6.9706
-4.2462 2.4515 6.9706
0.0000 -4.9030 6.9706
Ca Y Th Se
1 4 1 8
direct
0.0000 0.0000 0.0000 Ca
0.3721 0.3721 0.8759 Y
0.3721 0.8759 0.3721 Y
0.7460 0.7460 0.7460 Y
0.8759 0.3721 0.3721 Y
0.3726 0.3726 0.3726 Th
0.1300 0.1300 0.5960 Se
0.1300 0.5960 0.1300 Se
0.1337 0.1337 0.1337 Se
0.1425 0.6199 0.6199 Se
0.5960 0.1300 0.1300 Se
0.6141 0.6141 0.6141 Se
0.6199 0.1425 0.6199 Se
0.6199 0.6199 0.1425 Se
```

=====

CaTiSe2 | PBE | relaxed

Computed properties:
Total moment ... 4.00 μB per cell
Symmetry ... No. 122
DOS at the Fermi energy ... 0.735 states/eV/atom
Volume ... 239.7 Å³ per cell
Distance to the lowest polymorph of the same formula ... 0.000 eV per atom
Energy relative to the elements, uncorrected ... -26.31 kcal/mol of atoms
Total energy ... -5.3574 eV/atom

The structure in POSCAR format:
```
CaTiSe2
1.0
-3.0960 3.0960 6.2527
3.0960 -3.0960 6.2527
3.0960 3.0960 -6.2527
Ca Ti Se
2 2 4
direct
0.0000 0.0000 0.0000 Ca
0.7500 0.2500 0.5000 Ca
0.2500 0.7500 0.5000 Ti
0.5000 0.5000 0.0000 Ti
0.1680 0.6250 0.0430 Se
0.3750 0.4180 0.5430 Se
0.5820 0.1250 0.9570 Se
0.8750 0.8320 0.4570 Se
```

=====

CaTiSe2 | PBE | relaxed

Computed properties:
Total moment ... 0.69 μB per cell
Symmetry ... No. 166
DOS at the Fermi energy ... 0.865 states/eV/atom
Volume ... 106.0 Å³ per cell
Distance to the lowest polymorph of the same formula ... 0.160 eV per atom
Energy relative to the elements, uncorrected ... -22.63 kcal/mol of atoms
Total energy ... -5.1977 eV/atom

The structure in POSCAR format:
```
CaTiSe2
1.0
1.8713 1.0804 8.7380
-1.8713 1.0804 8.7380
0.0000 -2.1608 8.7380
Ca Ti Se
1 1 2
direct
0.0000 0.0000 0.0000 Ca
0.5000 0.5000 0.5000 Ti
0.1099 0.1099 0.1099 Se
0.8901 0.8901 0.8901 Se
```

=====

Ca2TiSe | PBE | relaxed

Computed properties:
Total moment ... 5.27 μB per cell
Symmetry ... No. 122
DOS at the Fermi energy ... 1.491 states/eV/atom
Volume ... 264.6 Å³ per cell
Energy relative to the elements, uncorrected ... -5.68 kcal/mol of atoms
Total energy ... -4.0920 eV/atom

The structure in POSCAR format:
```
Ca2TiSe
1.0
-5.1721 5.1721 2.4732
5.1721 -5.1721 2.4732
5.1721 5.1721 -2.4732
Ca Ti Se
4 2 2
direct
0.3750 0.0120 0.1370 Ca
0.7620 0.6250 0.6370 Ca
0.8750 0.2380 0.8630 Ca
0.9880 0.1250 0.3630 Ca
0.2500 0.7500 0.5000 Ti
0.5000 0.5000 0.0000 Ti
0.0000 0.0000 0.0000 Se
0.7500 0.2500 0.5000 Se
```

=====

Ca2Ti2Se | PBE | relaxed

Computed properties:
Total moment ... 3.93 μB per cell
Symmetry ... No. 127
DOS at the Fermi energy ... 0.932 states/eV/atom
Volume ... 249.6 Å³ per cell
Distance to the lowest polymorph of the same formula ... 0.000 eV per atom
Energy relative to the elements, uncorrected ... -2.11 kcal/mol of atoms
Total energy ... -4.7471 eV/atom

The structure in POSCAR format:
```
Ca2Ti2Se
1.0
6.7653 0.0000 0.0000
0.0000 6.7653 0.0000
0.0000 0.0000 5.4530
Ca Ti Se
4 4 2
direct
0.1658 0.3342 0.0000 Ca
0.3342 0.8342 0.0000 Ca
0.6658 0.1658 0.0000 Ca
0.8342 0.6658 0.0000 Ca
0.1481 0.6481 0.5000 Ti
0.3519 0.1481 0.5000 Ti
0.6481 0.8519 0.5000 Ti
0.8519 0.3519 0.5000 Ti
0.0000 0.0000 0.5000 Se
0.5000 0.5000 0.5000 Se
```

=====

CaTi4Se8 | PBE | relaxed

Computed properties:
Total moment ... 0.02 μB per cell
Symmetry ... No. 166
DOS at the Fermi energy ... 0.600 states/eV/atom
Volume ... 317.4 Å³ per cell
Distance to the lowest polymorph of the same formula ... 0.000 eV per atom
Energy relative to the elements, uncorrected ... -29.41 kcal/mol of atoms
Total energy ... -6.0028 eV/atom

The structure in POSCAR format:
```
CaTi4Se8
1.0
3.5903 2.0729 7.1089
-3.5903 2.0729 7.1089
0.0000 -4.1457 7.1089
Ca Ti Se
1 4 8
direct
0.0000 0.0000 0.0000 Ca
0.0000 0.0000 0.5000 Ti
0.0000 0.5000 0.0000 Ti
0.5000 0.0000 0.0000 Ti
0.5000 0.5000 0.5000 Ti
0.2381 0.2381 0.2381 Se
0.2445 0.7368 0.7368 Se
0.2632 0.2632 0.7555 Se
0.2632 0.7555 0.2632 Se
0.7368 0.2445 0.7368 Se
0.7368 0.7368 0.2445 Se
0.7555 0.2632 0.2632 Se
0.7619 0.7619 0.7619 Se
```

=====

CaTiSe2 | PBE | relaxed

Computed properties:
Total moment ... 2.00 μB per cell
Symmetry ... No. 225
DOS at the Fermi energy ... 0.000 states/eV/atom
Volume ... 82.6 Å³ per cell
Distance to the lowest polymorph of the same formula ... 0.034 eV per atom
Energy relative to the elements, uncorrected ... -25.53 kcal/mol of atoms
Total energy ... -5.3235 eV/atom

The structure in POSCAR format:
```
CaTiSe2
1.0
0.0000 3.4565 3.4565
3.4565 0.0000 3.4565
3.4565 3.4565 0.0000
Ca Ti Se
1 1 2
direct
0.0000 0.0000 0.0000 Ca
0.5000 0.5000 0.5000 Ti
0.2500 0.2500 0.2500 Se
0.7500 0.7500 0.7500 Se
```

=====

Ca3Ti5Se12 | PBE | relaxed

Computed properties:
Total moment ... 8.16 μB per cell
Symmetry ... No. 230
DOS at the Fermi energy ... 0.531 states/eV/atom
Volume ... 2076.5 Å³ per cell
Energy relative to the elements, uncorrected ... -28.32 kcal/mol of atoms
Total energy ... -5.5926 eV/atom

The structure in POSCAR format:
```
Ca3Ti5Se12
1.0
-8.0370 8.0370 8.0370
8.0370 -8.0370 8.0370
8.0370 8.0370 -8.0370
Ca Ti Se
12 20 48
direct
0.1250 0.2500 0.3750 Ca
0.1250 0.3750 0.7500 Ca
0.2500 0.3750 0.1250 Ca
0.2500 0.8750 0.6250 Ca
0.3750 0.1250 0.2500 Ca
0.3750 0.7500 0.1250 Ca
0.6250 0.2500 0.8750 Ca
0.6250 0.8750 0.7500 Ca
0.7500 0.1250 0.3750 Ca
0.7500 0.6250 0.8750 Ca
0.8750 0.6250 0.2500 Ca
0.8750 0.7500 0.6250 Ca
0.0000 0.0000 0.0000 Ti
0.0000 0.0000 0.5000 Ti
0.0000 0.5000 0.0000 Ti
0.0000 0.5000 0.5000 Ti
0.1250 0.7500 0.8750 Ti
0.1250 0.8750 0.2500 Ti
0.2500 0.1250 0.8750 Ti
0.2500 0.6250 0.3750 Ti
0.3750 0.2500 0.6250 Ti
0.3750 0.6250 0.7500 Ti
0.5000 0.0000 0.0000 Ti
0.5000 0.0000 0.5000 Ti
0.5000 0.5000 0.0000 Ti
0.5000 0.5000 0.5000 Ti
0.6250 0.3750 0.2500 Ti
0.6250 0.7500 0.3750 Ti
0.7500 0.3750 0.6250 Ti
0.7500 0.8750 0.1250 Ti
0.8750 0.1250 0.7500 Ti
0.8750 0.2500 0.1250 Ti
0.0265 0.2064 0.1168 Se
0.0265 0.3200 0.9097 Se
0.0903 0.6168 0.4103 Se
0.0897 0.7064 0.6800 Se
0.0897 0.8832 0.4097 Se
0.0903 0.9735 0.6800 Se
0.1168 0.0265 0.2064 Se
0.1168 0.5903 0.9103 Se
0.1800 0.2064 0.5897 Se
0.1800 0.4735 0.5903 Se
0.2064 0.1168 0.0265 Se
0.2064 0.5897 0.1800 Se
0.2936 0.3200 0.9103 Se
0.2936 0.4735 0.3832 Se
0.3200 0.9097 0.0265 Se
0.3200 0.9103 0.2936 Se
0.3832 0.2936 0.4735 Se
0.3832 0.5897 0.9097 Se
0.4103 0.0903 0.6168 Se
0.4097 0.0897 0.8832 Se
0.4097 0.8200 0.5265 Se
0.4103 0.8200 0.7936 Se
0.4735 0.3832 0.2936 Se
0.4735 0.5903 0.1800 Se
0.5265 0.4097 0.8200 Se
0.5265 0.6168 0.7064 Se
0.5897 0.1800 0.2064 Se
0.5903 0.1800 0.4735 Se
0.5903 0.9103 0.1168 Se
0.5897 0.9097 0.3832 Se
0.6168 0.4103 0.0903 Se
0.6168 0.7064 0.5265 Se
0.6800 0.0897 0.7064 Se
0.6800 0.0903 0.9735 Se
0.7064 0.5265 0.6168 Se
0.7064 0.6800 0.0897 Se
0.7936 0.4103 0.8200 Se
0.7936 0.8832 0.9735 Se
0.8200 0.5265 0.4097 Se
0.8200 0.7936 0.4103 Se
0.8832 0.4097 0.0897 Se
0.8832 0.9735 0.7936 Se
0.9097 0.0265 0.3200 Se
0.9103 0.1168 0.5903 Se
0.9103 0.2936 0.3200 Se
0.9097 0.3832 0.5897 Se
0.9735 0.6800 0.0903 Se
0.9735 0.7936 0.8832 Se
```